Entry 1:
Material: NpRuRhPb
Method: DFT, PBE
State: relaxed

Structure (CIF):
```
data_NpRuRhPb
_symmetry_space_group_name_H-M 'F -4 3 m'
_symmetry_Int_Tables_number 216
_symmetry_space_group_name_Hall 'F -4 2 3'
_cell_length_a 6.7285
_cell_length_b 6.7285
_cell_length_c 6.7285
_cell_angle_alpha 90.00
_cell_angle_beta 90.00
_cell_angle_gamma 90.00
loop_
_atom_site_label
_atom_site_fract_x
_atom_site_fract_y
_atom_site_fract_z
Np1 0.0000 0.0000 0.0000
Ru1 0.2500 0.2500 0.2500
Rh1 0.2500 0.2500 0.7500
Pb1 0.0000 0.0000 0.5000
```

Properties
Fermi-level density of states: 1.81 states/eV/atom
E_tot: -8.3570 eV per atom
E_form: -0.038 eV per atom

***

Entry 2:
Material: NpRhPbS3
Method: DFT, PBE
State: relaxed

Structure (CIF):
```
data_NpRhPbS3
_symmetry_space_group_name_H-M 'P 1 21/m 1'
_symmetry_Int_Tables_number 11
_symmetry_space_group_name_Hall '-P 2yb'
_cell_length_a 8.2008
_cell_length_b 4.0234
_cell_length_c 8.6839
_cell_angle_alpha 90.00
_cell_angle_beta 102.44
_cell_angle_gamma 90.00
loop_
_atom_site_label
_atom_site_fract_x
_atom_site_fract_y
_atom_site_fract_z
Np1 0.1700 0.2500 0.1642
Rh1 0.3954 0.7500 0.4266
Pb1 0.3404 0.7500 0.7514
S1 0.0586 0.2500 0.8434
S2 0.2777 0.2500 0.4754
S3 0.3798 0.7500 0.1324
```

Properties
energy relative to the elements, uncorrected: -0.785 eV per atom
Fermi-level density of states: 1.73 states/eV/atom
E_tot: -6.8486 eV per atom